Below is an optimized crystal structure of Sm3Cd2Au, with properties calculated at the GGA-PBE level.

Crystal system = tetragonal
Final energy = -0.27115 Ry per atom
Density of states at the Fermi level = 5.653 states/eV per cell
Total moment = 0.015 μB/atom
E_form = -0.48 eV/atom
ΔE to the lowest computed polymorph = 0.00 kJ per mole of atoms

a = 3.750 Å, b = 3.750 Å, c = 11.376 Å
α = 90.00°, β = 90.00°, γ = 90.00°
Fractional coordinates of all 6 atoms:
1 Sm 0.000 0.000 0.000
2 Sm 0.000 0.000 0.655
3 Sm 0.000 0.000 0.345
4 Cd 0.500 0.500 0.833
5 Cd 0.500 0.500 0.167
6 Au 0.500 0.500 0.500

=====

Below is an optimized crystal structure of Sm5Cd4Au, with properties calculated at the GGA-PBE level.

Crystal system = tetragonal
Final energy = -0.25476 Ry per atom
Density of states at the Fermi level = 11.213 states/eV per cell
Total moment = 0.066 μB/atom
E_form = -0.41 eV/atom

a = 3.772 Å, b = 3.772 Å, c = 19.030 Å
α = 90.00°, β = 90.00°, γ = 90.00°
Fractional coordinates of all 10 atoms:
1 Sm 0.500 0.500 0.092
2 Sm 0.500 0.500 0.296
3 Sm 0.500 0.500 0.500
4 Sm 0.500 0.500 0.704
5 Sm 0.500 0.500 0.908
6 Cd 0.000 0.000 0.197
7 Cd 0.000 0.000 0.398
8 Cd 0.000 0.000 0.602
9 Cd 0.000 0.000 0.803
10 Au 0.000 0.000 0.000

=====

Below is an optimized crystal structure of Sm8Cd2Au, with properties calculated at the GGA-PBE level.

Crystal system = monoclinic
Final energy = -0.30158 Ry per atom
Density of states at the Fermi level = 12.087 states/eV per cell
Total moment = 0.000 μB/atom
E_form = -0.21 eV/atom

a = 5.312 Å, b = 6.999 Å, c = 9.615 Å
α = 103.35°, β = 106.04°, γ = 90.00°
Fractional coordinates of all 11 atoms:
1 Sm 0.408 0.548 0.817
2 Sm 0.658 0.964 0.315
3 Sm 0.798 0.697 0.596
4 Sm 0.980 0.231 0.960
5 Sm 0.202 0.303 0.404
6 Sm 0.342 0.036 0.685
7 Sm 0.592 0.452 0.183
8 Sm 0.020 0.769 0.040
9 Cd 0.813 0.268 0.626
10 Cd 0.187 0.732 0.374
11 Au 0.500 0.000 0.000

=====

Below is an optimized crystal structure of SmCdAu2, with properties calculated at the GGA-PBE level.

Crystal system = tetragonal
Final energy = -0.26168 Ry per atom
Density of states at the Fermi level = 2.364 states/eV per cell
Total moment = 0.000 μB/atom
E_form = -0.51 eV/atom

a = 3.946 Å, b = 4.790 Å, c = 4.790 Å
α = 90.00°, β = 90.00°, γ = 90.00°
Fractional coordinates of all 4 atoms:
1 Au 0.000 0.000 0.500
2 Au 0.000 0.500 0.000
3 Sm 0.500 0.500 0.500
4 Cd 0.500 0.000 0.000

=====

Below is an optimized crystal structure of SmCd5Au7, with properties calculated at the GGA-PBE level.

Crystal system = orthorhombic
Final energy = -0.20061 Ry per atom
Density of states at the Fermi level = 3.318 states/eV per cell
Total moment = 0.000 μB/atom
E_form = -0.25 eV/atom

a = 5.790 Å, b = 7.515 Å, c = 7.515 Å
α = 86.25°, β = 67.34°, γ = 67.34°
Fractional coordinates of all 13 atoms:
1 Sm 0.997 0.003 0.003
2 Cd 0.500 0.004 0.494
3 Cd 0.002 0.004 0.494
4 Cd 0.500 0.494 0.004
5 Cd 0.002 0.494 0.004
6 Cd 0.777 0.723 0.723
7 Au 0.663 0.337 0.337
8 Au 0.328 0.672 0.672
9 Au 0.000 0.307 0.694
10 Au 0.000 0.694 0.307
11 Au 0.224 0.276 0.276
12 Au 0.504 0.851 0.141
13 Au 0.504 0.141 0.851

=====

Below is an optimized crystal structure of SmCd3Au2, with properties calculated at the GGA-PBE level.

Crystal system = monoclinic
Final energy = -0.20115 Ry per atom
Density of states at the Fermi level = 5.905 states/eV per cell
Total moment = 0.000 μB/atom
E_form = -0.40 eV/atom

a = 4.329 Å, b = 7.915 Å, c = 8.878 Å
α = 110.41°, β = 104.11°, γ = 90.00°
Fractional coordinates of all 12 atoms:
1 Sm 0.114 0.152 0.228
2 Sm 0.886 0.848 0.772
3 Cd 0.688 0.898 0.377
4 Cd 0.067 0.669 0.134
5 Cd 0.354 0.513 0.709
6 Cd 0.646 0.487 0.291
7 Cd 0.933 0.331 0.866
8 Cd 0.312 0.102 0.623
9 Au 0.511 0.829 0.022
10 Au 0.489 0.171 0.978
11 Au 0.245 0.714 0.489
12 Au 0.755 0.286 0.511

=====

Below is an optimized crystal structure of SmCd2Au, with properties calculated at the GGA-PBE level.

Crystal system = tetragonal
Final energy = -0.20889 Ry per atom
Density of states at the Fermi level = 2.402 states/eV per cell
Total moment = 0.000 μB/atom
E_form = -0.39 eV/atom

a = 4.997 Å, b = 4.372 Å, c = 4.372 Å
α = 90.00°, β = 90.00°, γ = 90.00°
Fractional coordinates of all 4 atoms:
1 Au 0.500 0.500 0.500
2 Sm 0.500 0.000 0.000
3 Cd 0.000 0.000 0.500
4 Cd 0.000 0.500 0.000

=====

Below is an optimized crystal structure of Sm4Cd2Au, with properties calculated at the GGA-PBE level.

Crystal system = trigonal
Final energy = -0.27138 Ry per atom
Density of states at the Fermi level = 8.903 states/eV per cell
Total moment = 0.000 μB/atom
E_form = -0.27 eV/atom

a = 5.276 Å, b = 5.276 Å, c = 9.101 Å
α = 73.15°, β = 73.15°, γ = 60.00°
Fractional coordinates of all 7 atoms:
1 Au 0.000 0.000 0.000
2 Sm 0.876 0.876 0.373
3 Sm 0.124 0.124 0.627
4 Sm 0.625 0.625 0.125
5 Sm 0.375 0.375 0.875
6 Cd 0.753 0.753 0.742
7 Cd 0.247 0.247 0.258

=====

Below is an optimized crystal structure of Sm3Cd2Au2, with properties calculated at the GGA-PBE level.

Crystal system = orthorhombic
Final energy = -0.27721 Ry per atom
Density of states at the Fermi level = 5.102 states/eV per cell
Total moment = 0.018 μB/atom
E_form = -0.55 eV/atom

a = 4.139 Å, b = 3.780 Å, c = 11.849 Å
α = 90.00°, β = 79.94°, γ = 90.00°
Fractional coordinates of all 7 atoms:
1 Sm 0.838 0.000 0.324
2 Sm 0.000 0.000 0.000
3 Sm 0.162 0.000 0.676
4 Cd 0.578 0.500 0.844
5 Cd 0.422 0.500 0.156
6 Au 0.710 0.500 0.581
7 Au 0.290 0.500 0.419

=====

Below is an optimized crystal structure of SmCd5Au2, with properties calculated at the GGA-PBE level.

Crystal system = orthorhombic
Final energy = -0.16929 Ry per atom
Density of states at the Fermi level = 2.330 states/eV per cell
Total moment = 0.000 μB/atom
E_form = -0.32 eV/atom

a = 3.935 Å, b = 7.162 Å, c = 7.162 Å
α = 75.72°, β = 74.05°, γ = 74.05°
Fractional coordinates of all 8 atoms:
1 Sm 0.000 0.000 0.000
2 Cd 0.000 0.500 0.500
3 Cd 0.643 0.554 0.160
4 Cd 0.357 0.446 0.840
5 Cd 0.357 0.840 0.446
6 Cd 0.643 0.160 0.554
7 Au 0.723 0.777 0.777
8 Au 0.277 0.223 0.223

=====

Below is an optimized crystal structure of SmCd2Au, with properties calculated at the GGA-PBE level.

Crystal system = cubic
Final energy = -0.20821 Ry per atom
Density of states at the Fermi level = 1.227 states/eV per cell
Total moment = 0.000 μB/atom
E_form = -0.38 eV/atom

a = 5.020 Å, b = 5.020 Å, c = 5.020 Å
α = 60.00°, β = 60.00°, γ = 60.00°
Fractional coordinates of all 4 atoms:
1 Au 0.500 0.500 0.500
2 Sm 0.000 0.000 0.000
3 Cd 0.250 0.250 0.250
4 Cd 0.750 0.750 0.750

=====

Below is an optimized crystal structure of Sm3Cd3Au2, with properties calculated at the GGA-PBE level.

Crystal system = hexagonal
Final energy = -0.25706 Ry per atom
Density of states at the Fermi level = 6.423 states/eV per cell
Total moment = 0.000 μB/atom
E_form = -0.57 eV/atom

a = 3.886 Å, b = 7.812 Å, c = 7.812 Å
α = 120.00°, β = 90.00°, γ = 90.00°
Fractional coordinates of all 8 atoms:
1 Sm 0.500 0.416 0.416
2 Sm 0.500 0.584 0.000
3 Sm 0.500 0.000 0.584
4 Cd 0.000 0.775 0.775
5 Cd 0.000 0.225 0.000
6 Cd 0.000 0.000 0.225
7 Au 0.000 0.333 0.667
8 Au 0.000 0.667 0.333

=====

Which of these has the lowest final energy?
Sm8Cd2Au

=====

Which of these has the highest density of states at the Fermi level?
Sm8Cd2Au